*one*
First-principles (PBE-GGA) data for crystalline KCr at its relaxed geometry, as listed in the Alexandria database.

Output
Calculated volume ... 36.143 Å³/atom
Total magnetic moment ... 29.6 μB per cell

Unit cell a=3.6947 b=3.6947 c=36.6869 alpha=90.00 beta=90.00 gamma=120.00
With the nearest neighbours (Å) after each atom.
Space group R-3m (No. 166, hexagonal axes)
Inequivalent atoms, fractional coordinates:
1 K 0.0000 0.0000 0.1098 x6  3 Cr 3.65, 6 K 3.69
2 Cr 0.0000 0.0000 0.3624 x6  3 Cr 3.01

*two*
First-principles (PBE-GGA) data for crystalline KCr at its relaxed geometry, as listed in the Alexandria database.

Output
Calculated volume ... 34.007 Å³/atom
Total magnetic moment ... 0.0 μB per cell

Unit cell a=11.5360 b=11.5360 c=4.0886 alpha=90.00 beta=90.00 gamma=90.00
With the nearest neighbours (Å) after each atom.
Space group I4/mmm (No. 139)
Inequivalent atoms, fractional coordinates:
1 K 0.1586 0.1586 0.0000 x8  4 K 3.62-3.66, 6 Cr 4.03-4.04
2 Cr 0.0000 0.4151 0.5000 x8  1 Cr 1.96

*three*
First-principles (PBE-GGA) data for crystalline KCr at its relaxed geometry, as listed in the Alexandria database.

Output
Calculated volume ... 36.932 Å³/atom
Total magnetic moment ... 9.3 μB per cell

Unit cell a=14.4582 b=3.6211 c=8.5773 alpha=90.00 beta=99.28 gamma=90.00
With the nearest neighbours (Å) after each atom.
Space group Cm (No. 8)
Inequivalent atoms, fractional coordinates:
1 K 0.0000 0.0000 0.0000 x2  6 Cr 3.61-3.84, 3 K 3.62-3.96
2 K 0.0218 0.0000 0.5457 x2  3 K 3.62-3.96, 4 Cr 3.67-3.91
3 K 0.2490 0.5000 0.3142 x2  4 Cr 3.62-3.77, 2 K 3.62
4 Cr 0.1915 0.5000 0.8351 x2  2 Cr 2.39
5 Cr 0.2817 0.0000 0.9621 x2  3 Cr 2.36-2.39
6 Cr 0.3148 0.0000 0.7018 x2  1 Cr 2.36

It is *two* that is the most stable of them.

*one*
First-principles (PBE-GGA) data for crystalline KCr2 at its relaxed geometry, as listed in the Alexandria database.

Output
Calculated volume ... 17.290 Å³/atom
Total magnetic moment ... 1.5 μB per cell

Unit cell a=4.9380 b=4.9380 c=2.4563 alpha=90.00 beta=90.00 gamma=120.00
With the nearest neighbours (Å) after each atom.
Space group P-3m1 (No. 164)
Inequivalent atoms, fractional coordinates:
1 K 0.0000 0.0000 0.0000 x1  2 K 2.46
2 Cr 0.3333 0.6667 0.6776 x2  2 Cr 2.46

*two*
First-principles (PBE-GGA) data for crystalline KCr2 at its relaxed geometry, as listed in the Alexandria database.

Output
Calculated volume ... 21.454 Å³/atom
Total magnetic moment ... 0.0 μB per cell

Unit cell a=3.1716 b=3.1716 c=12.7966 alpha=90.00 beta=90.00 gamma=90.00
With the nearest neighbours (Å) after each atom.
Space group I4/mmm (No. 139)
Inequivalent atoms, fractional coordinates:
1 K 0.0000 0.0000 0.0000 x2  4 K 3.17, 2 Cr 3.26
2 Cr 0.0000 0.0000 0.2546 x4  4 Cr 2.25

*three*
First-principles (PBE-GGA) data for crystalline KCr2 at its relaxed geometry, as listed in the Alexandria database.

Output
Calculated volume ... 19.501 Å³/atom
Total magnetic moment ... 0.0 μB per cell

Unit cell a=2.9859 b=2.9859 c=7.5769 alpha=90.00 beta=90.00 gamma=120.00
With the nearest neighbours (Å) after each atom.
Space group P-3m1 (No. 164)
Inequivalent atoms, fractional coordinates:
1 K 0.0000 0.0000 0.0000 x1  6 K 2.99
2 Cr 0.3333 0.6667 0.4074 x2  3 Cr 2.22

It is *three* that is the most stable of them.

*one*
First-principles (PBE-GGA) data for crystalline K2Cr at its relaxed geometry, as listed in the Alexandria database.

Output
Calculated volume ... 45.862 Å³/atom
Total magnetic moment ... 20.4 μB per cell

Unit cell a=9.3852 b=9.3852 c=6.2481 alpha=90.00 beta=90.00 gamma=90.00
With the nearest neighbours (Å) after each atom.
Space group I4/mcm (No. 140)
Inequivalent atoms, fractional coordinates:
1 K 0.1653 0.3347 0.0000 x8  4 Cr 3.84, 2 K 3.85
2 Cr 0.0000 0.0000 0.2500 x4  2 Cr 3.12

*two*
First-principles (PBE-GGA) data for crystalline K2Cr at its relaxed geometry, as listed in the Alexandria database.

Output
Calculated volume ... 48.012 Å³/atom
Total magnetic moment ... 16.1 μB per cell

Unit cell a=10.1910 b=10.1910 c=4.8042 alpha=90.00 beta=90.00 gamma=120.00
With the nearest neighbours (Å) after each atom.
Space group P-62m (No. 189)
Inequivalent atoms, fractional coordinates:
1 K 0.0000 0.2651 0.0000 x3  4 Cr 3.62-3.79
2 K 0.0000 0.5994 0.5000 x3  5 Cr 3.93-4.08, 6 K 4.17-4.33
3 Cr 0.0000 0.0000 0.5000 x1  6 K 3.62
4 Cr 0.3333 0.6667 0.0000 x2  9 K 3.79-3.93

It is *one* that is the most stable of them.

*one*
First-principles (PBE-GGA) data for crystalline K2Cr at its relaxed geometry, as listed in the Alexandria database.

Output
Calculated volume ... 46.142 Å³/atom
Total magnetic moment ... 10.6 μB per cell

Unit cell a=6.3501 b=6.3501 c=7.9280 alpha=90.00 beta=90.00 gamma=120.00
With the nearest neighbours (Å) after each atom.
Space group P6_3/mmc (No. 194)
Inequivalent atoms, fractional coordinates:
1 K 0.0000 0.0000 0.0000 x2  8 K 3.96-4.17, 6 Cr 4.17
2 K 0.3333 0.6667 0.2500 x2  5 Cr 3.67-3.96
3 Cr 0.3333 0.6667 0.7500 x2  5 K 3.67-3.96

*two*
First-principles (PBE-GGA) data for crystalline K2Cr at its relaxed geometry, as listed in the Alexandria database.

Output
Calculated volume ... 42.745 Å³/atom
Total magnetic moment ... 5.0 μB per cell

Unit cell a=6.2554 b=6.2554 c=3.7842 alpha=90.00 beta=90.00 gamma=120.00
With the nearest neighbours (Å) after each atom.
Space group P-3m1 (No. 164)
Inequivalent atoms, fractional coordinates:
1 K 0.3333 0.6667 0.1477 x2  5 K 3.78, 3 Cr 3.85
2 Cr 0.0000 0.0000 0.5000 x1  2 Cr 3.78, 6 K 3.85

It is *one* that is the most stable of them.

*one*
First-principles (PBE-GGA) data for crystalline K2Cr at its relaxed geometry, as listed in the Alexandria database.

Output
Calculated volume ... 49.301 Å³/atom
Total magnetic moment ... 10.3 μB per cell

Unit cell a=8.9444 b=9.1546 c=3.6126 alpha=90.00 beta=90.00 gamma=90.00
With the nearest neighbours (Å) after each atom.
Space group Pnnm (No. 58)
Inequivalent atoms, fractional coordinates:
1 K 0.1915 0.1710 0.0000 x4  3 Cr 3.46-3.65, 2 K 3.61
2 Cr 0.0000 0.5000 0.0000 x2  6 K 3.46-3.65, 2 Cr 3.61

*two*
First-principles (PBE-GGA) data for crystalline K2Cr at its relaxed geometry, as listed in the Alexandria database.

Output
Calculated volume ... 48.113 Å³/atom
Total magnetic moment ... 10.3 μB per cell

Unit cell a=4.3102 b=4.3102 c=15.5390 alpha=90.00 beta=90.00 gamma=90.00
With the nearest neighbours (Å) after each atom.
Space group I4/mmm (No. 139)
Inequivalent atoms, fractional coordinates:
1 K 0.0000 0.0000 0.1359 x4  4 Cr 3.71
2 Cr 0.0000 0.0000 0.5000 x2  8 K 3.71

*three*
First-principles (PBE-GGA) data for crystalline K2Cr at its relaxed geometry, as listed in the Alexandria database.

Output
Calculated volume ... 48.742 Å³/atom
Total magnetic moment ... 20.6 μB per cell

Unit cell a=17.0647 b=4.2646 c=8.3305 alpha=90.00 beta=105.25 gamma=90.00
With the nearest neighbours (Å) after each atom.
Space group C2/m (No. 12)
Inequivalent atoms, fractional coordinates:
1 K 0.1169 0.0000 0.0614 x4  5 K 3.85-4.31, 4 Cr 3.88-3.93
2 K 0.1534 0.0000 0.5934 x4  4 Cr 3.63-3.65
3 Cr 0.0041 0.5000 0.3194 x4  1 Cr 3.05

*four*
First-principles (PBE-GGA) data for crystalline K2Cr at its relaxed geometry, as listed in the Alexandria database.

Output
Calculated volume ... 52.319 Å³/atom
Total magnetic moment ... 20.1 μB per cell

Unit cell a=15.9718 b=7.3841 c=5.3234 alpha=90.00 beta=90.00 gamma=90.00
With the nearest neighbours (Å) after each atom.
Space group Cmcm (No. 63)
Inequivalent atoms, fractional coordinates:
1 K 0.1371 0.2234 0.2500 x8  3 Cr 3.51-3.70
2 Cr 0.0000 0.4059 0.7500 x4  2 Cr 3.00

It is *four* that is the most stable of them.

*one*
First-principles (PBE-GGA) data for crystalline K3Cr at its relaxed geometry, as listed in the Alexandria database.

Output
Calculated volume ... 50.202 Å³/atom
Total magnetic moment ... 21.7 μB per cell

Unit cell a=8.3578 b=8.3578 c=13.2778 alpha=90.00 beta=90.00 gamma=120.00
With the nearest neighbours (Å) after each atom.
Space group P6_3/mmc (No. 194)
Inequivalent atoms, fractional coordinates:
1 K 0.0000 0.5000 0.0000 x6  4 Cr 4.10-4.18, 8 K 4.15-4.18
2 K 0.1557 0.3113 0.2500 x6  6 K 3.90-4.15, 4 Cr 4.01-4.18
3 Cr 0.0000 0.0000 0.0000 x2  12 K 4.01-4.18
4 Cr 0.3333 0.6667 0.7500 x2  12 K 4.10-4.18

*two*
First-principles (PBE-GGA) data for crystalline K3Cr at its relaxed geometry, as listed in the Alexandria database.

Output
Calculated volume ... 50.859 Å³/atom
Total magnetic moment ... 15.9 μB per cell

Unit cell a=12.7643 b=12.7643 c=4.3254 alpha=90.00 beta=90.00 gamma=120.00
With the nearest neighbours (Å) after each atom.
Space group R-3m (No. 166, hexagonal axes)
Inequivalent atoms, fractional coordinates:
1 K 0.0000 0.5000 0.0000 x9  6 K 3.96-4.33, 2 Cr 3.96
2 Cr 0.0000 0.0000 0.0000 x3  6 K 3.96, 2 Cr 4.33

*three*
First-principles (PBE-GGA) data for crystalline K3Cr at its relaxed geometry, as listed in the Alexandria database.

Output
Calculated volume ... 50.609 Å³/atom
Total magnetic moment ... 5.3 μB per cell

Unit cell a=5.8717 b=5.8717 c=5.8717 alpha=90.00 beta=90.00 gamma=90.00
With the nearest neighbours (Å) after each atom.
Space group Pm-3m (No. 221)
Inequivalent atoms, fractional coordinates:
1 K 0.0000 0.0000 0.5000 x3  4 Cr 4.15, 8 K 4.15
2 Cr 0.5000 0.5000 0.5000 x1  12 K 4.15

It is *one* that is the most stable of them.